<one>
VASP calculation (PBE) on a relaxed KBe2Au crystal.

It has space group P4mm (No. 99), with a = 3.001 Å, b = 3.001 Å, c = 7.775 Å, α = 90.00°, β = 90.00° and γ = 90.00°. Symmetry generates all atoms from K at (0.000, 0.000, 0.000), Be at (0.000, 0.000, 0.543), Be at (0.500, 0.500, 0.660) and Au at (0.500, 0.500, 0.357).

Its mass density is 6.03 g/cm³.

---

<two>
VASP calculation (PBE) on a relaxed KBe2Au crystal.

It has space group P1 (No. 1), with a = 4.042 Å, b = 4.098 Å, c = 6.481 Å, α = 72.29°, β = 72.35° and γ = 60.50°. Symmetry generates all atoms from K at (0.000, 0.000, 0.000), Be at (0.511, 0.508, 0.482), Be at (0.845, 0.821, 0.501) and Au at (0.185, 0.171, 0.471).

Its mass density is 4.82 g/cm³.

---

<three>
VASP calculation (PBE) on a relaxed KBe2Au crystal.

It has space group P2/m (No. 10), with a = 2.738 Å, b = 4.235 Å, c = 6.828 Å, α = 90.00°, β = 96.90° and γ = 90.00°. Symmetry generates all atoms from K at (0.000, 0.000, 0.000), Be at (0.276, 0.500, 0.630) and Au at (0.500, 0.000, 0.500).

Its mass density is 5.37 g/cm³.

---

It turns out <two> is the most stable, with the second structure 417 meV/atom higher.

---

<one>
VASP calculation (PBE) on a relaxed KBe2Au crystal.

It has space group Pmmm (No. 47), with a = 2.785 Å, b = 4.963 Å, c = 5.278 Å, α = 90.00°, β = 90.00° and γ = 90.00°. Symmetry generates all atoms from K at (0.000, 0.000, 0.000), Be at (0.000, 0.500, 0.500), Be at (0.500, 0.500, 0.000) and Au at (0.500, 0.000, 0.500).

Its mass density is 5.78 g/cm³.

---

<two>
VASP calculation (PBE) on a relaxed KBe2Au crystal.

It has space group Cm (No. 8), with a = 7.064 Å, b = 4.075 Å, c = 6.239 Å, α = 90.00°, β = 103.56° and γ = 90.00°. Symmetry generates all atoms from K at (0.000, 0.000, 0.000), Be at (0.103, 0.000, 0.501), Be at (0.432, 0.000, 0.486) and Au at (0.264, 0.500, 0.479).

Its mass density is 4.83 g/cm³.

---

<three>
VASP calculation (PBE) on a relaxed KBe2Au crystal.

It has space group I4_1/amd (No. 141, origin choice 2), with a = 4.935 Å, b = 4.935 Å, c = 15.184 Å, α = 90.00°, β = 90.00° and γ = 90.00°. Symmetry generates all atoms from K at (0.000, 0.250, 0.375), Be at (0.000, 0.000, 0.000) and Au at (0.000, 0.250, 0.875).

Its mass density is 4.56 g/cm³.

---

<four>
VASP calculation (PBE) on a relaxed KBe2Au crystal.

It has space group C2/m (No. 12), with a = 6.039 Å, b = 10.468 Å, c = 2.671 Å, α = 90.00°, β = 115.57° and γ = 90.00°. Symmetry generates all atoms from K at (0.000, 0.000, 0.000), Be at (0.250, 0.250, 0.500) and Au at (0.000, 0.500, 0.000).

Its mass density is 5.54 g/cm³.

---

It turns out <two> is the most stable, with the second structure 334 meV/atom higher.